Entry 1:
An optimized crystal structure of Er3Sb5O12, computed with GGA-PBEsol.

Cell lengths 9.210, 9.210, 9.210 Å; angles 109.47, 109.47, 109.47 degrees
Fractional coordinates of all 40 atoms:
Er 0.250 0.750 0.500
Er 0.250 0.500 0.750
Er 0.500 0.250 0.750
Er 0.500 0.750 0.250
Er 0.750 0.250 0.500
Er 0.750 0.500 0.250
Sb 0.479 0.479 0.479
Sb 0.721 0.000 0.721
Sb 0.721 0.721 0.000
Sb 0.279 0.000 0.279
Sb 0.279 0.279 0.000
Sb 0.000 0.000 0.521
Sb 0.000 0.521 0.000
Sb 0.521 0.000 0.000
Sb 0.000 0.279 0.279
Sb 0.000 0.721 0.721
O 0.519 0.723 0.519
O 0.519 0.519 0.723
O 0.293 0.293 0.795
O 0.293 0.795 0.293
O 0.205 0.498 0.498
O 0.502 0.707 0.000
O 0.502 0.000 0.707
O 0.498 0.498 0.205
O 0.498 0.205 0.498
O 0.277 0.797 0.797
O 0.203 0.000 0.481
O 0.203 0.481 0.000
O 0.797 0.797 0.277
O 0.797 0.277 0.797
O 0.481 0.000 0.203
O 0.481 0.203 0.000
O 0.000 0.203 0.481
O 0.000 0.481 0.203
O 0.707 0.000 0.502
O 0.707 0.502 0.000
O 0.795 0.293 0.293
O 0.000 0.502 0.707
O 0.000 0.707 0.502
O 0.723 0.519 0.519

***

Entry 2:
An optimized crystal structure of Er3SbO7, computed with GGA-PBEsol.

Cell lengths 6.343, 6.343, 7.380 Å; angles 90.00, 90.00, 109.46 degrees
Fractional coordinates of all 22 atoms:
Er 0.000 0.468 0.750
Er 0.000 0.532 0.250
Er 0.532 0.000 0.750
Er 0.468 0.000 0.250
Er 0.500 0.500 0.500
Er 0.500 0.500 0.000
Sb 0.000 0.000 0.500
Sb 0.000 0.000 0.000
O 0.637 0.363 0.750
O 0.363 0.637 0.250
O 0.926 0.074 0.750
O 0.074 0.926 0.250
O 0.925 0.674 0.530
O 0.075 0.326 0.030
O 0.326 0.075 0.970
O 0.674 0.925 0.470
O 0.370 0.630 0.750
O 0.630 0.370 0.250
O 0.925 0.674 0.969
O 0.075 0.326 0.469
O 0.326 0.075 0.531
O 0.674 0.925 0.031

***

Entry 3:
An optimized crystal structure of ErScO3, computed with GGA-PBEsol.

Cell lengths 5.354, 5.663, 7.841 Å; angles 90.00, 90.00, 90.00 degrees
Fractional coordinates of all 20 atoms:
Sc 0.000 0.500 0.000
Sc 0.500 0.000 0.000
Sc 0.500 0.000 0.500
Sc 0.000 0.500 0.500
O 0.864 0.561 0.250
O 0.364 0.939 0.750
O 0.636 0.061 0.250
O 0.136 0.439 0.750
O 0.690 0.307 0.929
O 0.190 0.193 0.071
O 0.810 0.807 0.571
O 0.310 0.693 0.429
O 0.310 0.693 0.071
O 0.810 0.807 0.929
O 0.190 0.193 0.429
O 0.690 0.307 0.571
Er 0.022 0.935 0.250
Er 0.522 0.565 0.750
Er 0.478 0.435 0.250
Er 0.978 0.065 0.750

***

Entry 4:
An optimized crystal structure of Er2SeO2, computed with GGA-PBEsol.

Cell lengths 3.753, 3.753, 6.683 Å; angles 90.00, 90.00, 120.00 degrees
Fractional coordinates of all 5 atoms:
Se 0.000 0.000 0.000
O 0.667 0.333 0.374
O 0.333 0.667 0.626
Er 0.667 0.333 0.709
Er 0.333 0.667 0.291

***

| no. | ΔE_f (raw) (eV/f.u.) |
| --- | --- |
| 1 | -45.77 |
| 2 | -33.68 |
| 3 | -18.09 |
| 4 | -15.99 |